1.
A geometry-optimized Ca3BiAu14 structure. Source: Alexandria, functional GGA-PBEsol.

CIF file:
```
data_Ca3BiAu14
_chemical_formula_sum 'Ca3 Bi1 Au14'
_cell_length_a 5.4696
_cell_length_b 5.4696
_cell_length_c 13.5955
_cell_angle_alpha 90.00
_cell_angle_beta 90.00
_cell_angle_gamma 120.00
_space_group_name_H-M_alt 'P 3 m 1'
_space_group_IT_number 156
_space_group_name_Hall 'P 3 -2"'
loop_
_atom_site_label
_atom_site_type_symbol
_atom_site_fract_x
_atom_site_fract_y
_atom_site_fract_z
Ca1 Ca 0.0000 0.0000 0.0000
Ca2 Ca 0.3333 0.6667 0.6468
Ca3 Ca 0.6667 0.3333 0.3245
Bi1 Bi 0.0000 0.0000 0.7463
Au1 Au 0.0000 0.0000 0.3654
Au2 Au 0.1674 0.3347 0.2013
Au3 Au 0.3333 0.6667 0.0365
Au4 Au 0.3333 0.6667 0.4013
Au5 Au 0.3342 0.1671 0.5284
Au6 Au 0.5005 0.0010 0.8711
Au7 Au 0.6667 0.3333 0.0793
Au8 Au 0.6667 0.3333 0.6983
```

The volume is 19.569 Å³/atom. The energy of formation is -0.408 eV/atom. As for the total energy: -4.054 eV per atom.

=====

2.
A geometry-optimized SrCa3 structure. Source: Alexandria, functional GGA-PBEsol.

CIF file:
```
data_SrCa3
_chemical_formula_sum 'Sr1 Ca3'
_cell_length_a 4.487
_cell_length_b 4.487
_cell_length_c 8.506
_cell_angle_alpha 90.00
_cell_angle_beta 90.00
_cell_angle_gamma 90.00
_space_group_name_H-M_alt 'P 4/m m m'
_space_group_IT_number 123
_space_group_name_Hall '-P 4 2'
loop_
_atom_site_label
_atom_site_type_symbol
_atom_site_fract_x
_atom_site_fract_y
_atom_site_fract_z
Sr1 Sr 0.000 0.000 0.000
Ca1 Ca 0.000 0.000 0.500
Ca2 Ca 0.500 0.500 0.265
```

The volume is 42.810 Å³/atom. The energy of formation is 0.018 eV/atom. As for the total energy: -2.042 eV per atom.

=====

3.
A geometry-optimized Ni8W structure. Source: Alexandria, functional GGA-PBEsol.

CIF file:
```
data_Ni8W
_chemical_formula_sum 'Ni16 W2'
_cell_length_a 7.436
_cell_length_b 7.436
_cell_length_c 3.527
_cell_angle_alpha 90.00
_cell_angle_beta 90.00
_cell_angle_gamma 90.00
_space_group_name_H-M_alt 'I 4/m m m'
_space_group_IT_number 139
_space_group_name_Hall '-I 4 2'
loop_
_atom_site_label
_atom_site_type_symbol
_atom_site_fract_x
_atom_site_fract_y
_atom_site_fract_z
Ni1 Ni 0.000 0.334 0.000
Ni2 Ni 0.167 0.167 0.500
W1 W 0.000 0.000 0.000
```

The volume is 10.836 Å³/atom. The energy of formation is -0.084 eV/atom. As for the total energy: -7.091 eV per atom.

=====

4.
A geometry-optimized YCr2Cl structure. Source: Alexandria, functional GGA-PBEsol.

CIF file:
```
data_YCr2Cl
_chemical_formula_sum 'Y3 Cr6 Cl3'
_cell_length_a 3.2748
_cell_length_b 3.2748
_cell_length_c 25.9900
_cell_angle_alpha 90.00
_cell_angle_beta 90.00
_cell_angle_gamma 120.00
_space_group_name_H-M_alt 'R -3 m'
_space_group_IT_number 166
_space_group_name_Hall '-R 3 2"'
loop_
_atom_site_label
_atom_site_type_symbol
_atom_site_fract_x
_atom_site_fract_y
_atom_site_fract_z
Y1 Y 0.0000 0.0000 0.0000
Cr1 Cr 0.0000 0.0000 0.2408
Cl1 Cl 0.0000 0.0000 0.5000
```

The volume is 20.115 Å³/atom. As for the total energy: -6.875 eV per atom. Its formation energy from raw total energies is 0.453 eV per atom.

=====

5.
A geometry-optimized NbInHg2S structure. Source: Alexandria, functional GGA-PBEsol.

CIF file:
```
data_NbInHg2S
_chemical_formula_sum 'Nb1 In1 Hg2 S1'
_cell_length_a 4.974
_cell_length_b 4.974
_cell_length_c 5.075
_cell_angle_alpha 90.00
_cell_angle_beta 90.00
_cell_angle_gamma 90.00
_space_group_name_H-M_alt 'P 4/m m m'
_space_group_IT_number 123
_space_group_name_Hall '-P 4 2'
loop_
_atom_site_label
_atom_site_type_symbol
_atom_site_fract_x
_atom_site_fract_y
_atom_site_fract_z
Nb1 Nb 0.000 0.000 0.000
In1 In 0.500 0.500 0.000
Hg1 Hg 0.000 0.500 0.500
S1 S 0.500 0.500 0.500
```

The volume is 25.112 Å³/atom. As for the total energy: -2.817 eV per atom. Its formation energy from raw total energies is 1.047 eV per atom.

=====

6.
A geometry-optimized ScInRh2 structure. Source: Alexandria, functional GGA-PBEsol.

CIF file:
```
data_ScInRh2
_chemical_formula_sum 'Sc1 In1 Rh2'
_cell_length_a 3.212
_cell_length_b 3.212
_cell_length_c 6.240
_cell_angle_alpha 90.00
_cell_angle_beta 90.00
_cell_angle_gamma 90.00
_space_group_name_H-M_alt 'P 4/m m m'
_space_group_IT_number 123
_space_group_name_Hall '-P 4 2'
loop_
_atom_site_label
_atom_site_type_symbol
_atom_site_fract_x
_atom_site_fract_y
_atom_site_fract_z
Sc1 Sc 0.000 0.000 0.000
In1 In 0.000 0.000 0.500
Rh1 Rh 0.500 0.500 0.247
```

The volume is 16.091 Å³/atom. The energy of formation is -0.763 eV/atom. As for the total energy: -7.229 eV per atom.